[1]
DFT (PBE-GGA) results for a relaxed structure of Cd2AgSe2.

```
Cd2AgSe2
1.0
7.730 0.000 0.000
0.000 7.730 0.000
0.000 0.000 3.996
Cd Ag Se
4 2 4
direct
0.131 0.369 0.000
0.369 0.869 0.000
0.631 0.131 0.000
0.869 0.631 0.000
0.000 0.000 0.500
0.500 0.500 0.500
0.194 0.694 0.500
0.306 0.194 0.500
0.694 0.806 0.500
0.806 0.306 0.500
```

## Properties
- ΔE to the lowest computed polymorph: 0 meV/atom
- Crystal system: tetragonal
- ΔE_f (raw): -0.144 eV per atom

***

[2]
DFT (PBE-GGA) results for a relaxed structure of CdAg2Se.

```
CdAg2Se
1.0
3.705 0.000 0.000
0.000 3.705 0.000
0.000 0.000 5.827
Cd Ag Se
1 2 1
direct
0.000 0.000 0.000
0.500 0.500 0.247
0.500 0.500 0.753
0.000 0.000 0.500
```

## Properties
- ΔE to the lowest computed polymorph: 33 meV/atom
- Crystal system: tetragonal
- ΔE_f (raw): -0.014 eV per atom

***

[3]
DFT (PBE-GGA) results for a relaxed structure of CdAgSe2.

```
CdAgSe2
1.0
3.747 0.000 0.000
0.000 3.747 0.000
0.000 0.000 6.956
Cd Ag Se
1 1 2
direct
0.000 0.000 0.000
0.500 0.500 0.528
0.000 0.000 0.613
0.500 0.500 0.129
```

## Properties
- Crystal system: tetragonal
- ΔE_f (raw): -0.211 eV per atom

***

[4]
DFT (PBE-GGA) results for a relaxed structure of CdAg2Se.

```
CdAg2Se
1.0
2.996 0.000 0.000
0.000 4.297 0.000
0.000 0.000 6.431
Cd Ag Se
1 2 1
direct
0.000 0.000 0.000
0.500 0.500 0.221
0.500 0.500 0.779
0.500 0.000 0.500
```

## Properties
- ΔE to the lowest computed polymorph: 50 meV/atom
- Crystal system: orthorhombic
- ΔE_f (raw): 0.003 eV per atom